Run one
Below is crystalline BaTaBi3 at its relaxed geometry, with properties calculated at the PBE level.

```
BaTaBi3
1.0
6.094 0.000 0.000
0.000 6.094 0.000
0.000 0.000 6.094
Ba Ta Bi
1 1 3
Direct
0.000 0.000 0.000
0.500 0.500 0.500
0.000 0.000 0.500
0.000 0.500 0.000
0.500 0.000 0.000
```

## Properties
For the total magnetization, the calculation gives 0.20 μB per formula unit. Its space group is Pm-3m (221).

=====

Run two
Below is crystalline BaTaBi3 at its relaxed geometry, with properties calculated at the PBE level.

```
BaTaBi3
1.0
5.619 0.000 0.000
0.000 5.619 0.000
0.000 0.000 5.619
Ba Ta Bi
1 1 3
Direct
0.000 0.000 0.000
0.500 0.500 0.500
0.000 0.500 0.500
0.500 0.000 0.500
0.500 0.500 0.000
```

## Properties
For the total magnetization, the calculation gives 0.00 μB per formula unit. Its space group is Pm-3m (221).

=====

Which structure is the least stable? The one labeled run one.

=====

Run one
Below is crystalline BaTbBi2 at its relaxed geometry, with properties calculated at the PBE level.

```
BaTbBi2
1.0
4.606 0.000 0.000
-2.303 3.989 0.000
0.000 0.000 25.357
Ba Tb Bi
3 3 6
Direct
0.000 0.000 0.000
0.333 0.667 0.667
0.667 0.333 0.333
0.000 0.000 0.171
0.333 0.667 0.838
0.667 0.333 0.505
0.000 0.000 0.574
0.000 0.000 0.765
0.333 0.667 0.240
0.333 0.667 0.432
0.667 0.333 0.098
0.667 0.333 0.907
```

## Properties
For the total magnetization, the calculation gives 0.00 μB per formula unit. Its space group is R3m (160).

=====

Run two
Below is crystalline BaTbBi2 at its relaxed geometry, with properties calculated at the PBE level.

```
BaTbBi2
1.0
8.161 0.000 0.000
0.000 4.725 0.000
-2.728 0.000 8.025
Ba Tb Bi
2 2 4
Direct
0.000 0.000 0.000
0.500 0.500 0.000
0.000 0.500 0.500
0.500 0.000 0.500
0.237 0.000 0.711
0.263 0.500 0.289
0.737 0.500 0.711
0.763 0.000 0.289
```

## Properties
For the total magnetization, the calculation gives 0.00 μB per formula unit. Its space group is C2/m (12).

=====

Which structure is the least stable? The one labeled run one.